(1)
The following is a GGA-PBE calculation of crystalline MnTlInSe3 at its relaxed geometry, from Alexandria via LeMat-Bulk.

abc: 4.0199 8.9942 9.9226
angles: 104.16 90.00 90.00
Last column: magnetic moment on the atom in μB.
Fractional positions:
Tl  0.7500  0.7975  0.7564  0.01
Tl  0.2500  0.2025  0.2436  0.01
In  0.2500  0.6598  0.1091  0.01
In  0.7500  0.3402  0.8909  0.01
Se  0.2500  0.7969  0.4848  0.10
Se  0.7500  0.4696  0.1687  0.02
Se  0.7500  0.8744  0.1296  0.03
Se  0.7500  0.2031  0.5152  0.10
Se  0.2500  0.1256  0.8704  0.03
Se  0.2500  0.5304  0.8313  0.02
Mn  0.7500  0.9116  0.3893  4.20
Mn  0.2500  0.0884  0.6107  4.20

Symmetry   P2_1/m, No. 11
Formation energy (no corrections)   -443 meV per atom

---

(2)
The following is a GGA-PBE calculation of crystalline Mn2Tl2InSe6 at its relaxed geometry, from Alexandria via LeMat-Bulk.

abc: 6.6067 6.6067 7.9518
angles: 96.93 96.93 120.28
Last column: magnetic moment on the atom in μB.
Fractional positions:
Tl  0.8446  0.1554  0.0000  0.01
Tl  0.1554  0.8446  0.0000  0.01
Se  0.5847  0.9469  0.3118  -0.07
Se  0.6914  0.6914  0.6830  -0.07
Se  0.0531  0.4153  0.6882  -0.07
Se  0.9469  0.5847  0.3118  -0.07
Se  0.4153  0.0531  0.6882  -0.07
Se  0.3086  0.3086  0.3170  -0.07
Mn  0.3318  0.6682  0.5000  3.43
Mn  0.6682  0.3318  0.5000  3.43
In  0.0000  0.0000  0.5000  0.05

Symmetry   C2/m, No. 12
Formation energy (no corrections)   -447 meV per atom

---

(3)
The following is a GGA-PBE calculation of crystalline UMnInSe4 at its relaxed geometry, from Alexandria via LeMat-Bulk.

abc: 6.7595 6.4732 9.0868
angles: 90.00 108.95 90.00
Last column: magnetic moment on the atom in μB.
Fractional positions:
Se  0.0278  0.9860  0.7136  -0.08
Se  0.4411  0.7500  0.1575  -0.04
Se  0.0278  0.5140  0.7136  -0.08
Se  0.5512  0.2500  0.4068  -0.04
Se  0.9722  0.0140  0.2864  -0.08
Se  0.9722  0.4860  0.2864  -0.08
Se  0.4488  0.7500  0.5932  -0.04
Se  0.5589  0.2500  0.8425  -0.04
U  0.7663  0.7500  0.4464  2.18
U  0.2337  0.2500  0.5536  2.18
Mn  0.2306  0.7500  0.3264  3.57
Mn  0.7694  0.2500  0.6736  3.57
In  0.2754  0.2500  0.0587  0.00
In  0.7246  0.7500  0.9413  0.00

Symmetry   P2_1/m, No. 11
Formation energy (no corrections)   -679 meV per atom

---

(4)
The following is a GGA-PBE calculation of crystalline UMn2In2Se4 at its relaxed geometry, from Alexandria via LeMat-Bulk.

abc: 4.0166 8.0562 7.8053
angles: 107.03 104.91 90.00
Last column: magnetic moment on the atom in μB.
Fractional positions:
U  0.0000  0.0000  0.0000  -2.06
In  0.1380  0.5944  0.2760  0.00
In  0.8620  0.4056  0.7240  0.00
Mn  0.6726  0.9673  0.3452  3.69
Mn  0.3274  0.0327  0.6548  3.69
Se  0.5137  0.7546  0.0273  0.05
Se  0.1957  0.1717  0.3914  0.06
Se  0.4864  0.2454  0.9727  0.05
Se  0.8043  0.8283  0.6086  0.06

Symmetry   C2/m, No. 12
Formation energy (no corrections)   -511 meV per atom

---

(5)
The following is a GGA-PBE calculation of crystalline MnIn2WSe at its relaxed geometry, from Alexandria via LeMat-Bulk.

abc: 5.1330 4.4424 5.1330
angles: 90.00 90.00 90.00
Last column: magnetic moment on the atom in μB.
Fractional positions:
W  0.5000  0.5000  0.5000  2.92
In  0.5000  0.0000  0.0000  -0.06
In  0.0000  0.0000  0.5000  -0.06
Mn  0.0000  0.0000  0.0000  2.06
Se  0.0000  0.5000  0.0000  -0.01

Symmetry   P4/mmm, No. 123
Formation energy (no corrections)   1191 meV per atom

---

(6)
The following is a GGA-PBE calculation of crystalline Zr2MnIn2Se6 at its relaxed geometry, from Alexandria via LeMat-Bulk.

abc: 6.6862 6.6862 8.0171
angles: 98.03 98.03 120.17
Last column: magnetic moment on the atom in μB.
Fractional positions:
Zr  0.3327  0.6673  0.5000  0.08
Zr  0.6673  0.3327  0.5000  0.08
Se  0.2624  0.2624  0.2997  0.02
Se  0.5963  0.9312  0.2958  0.02
Se  0.4037  0.0688  0.7042  0.02
Se  0.0688  0.4037  0.7042  0.02
Se  0.9312  0.5963  0.2958  0.02
Se  0.7376  0.7376  0.7003  0.02
In  0.8321  0.1679  0.0000  0.01
In  0.1679  0.8321  0.0000  0.01
Mn  0.0000  0.0000  0.5000  4.18

Symmetry   C2/m, No. 12
Formation energy (no corrections)   -880 meV per atom

---

(7)
The following is a GGA-PBE calculation of crystalline Mn2In2Si at its relaxed geometry, from Alexandria via LeMat-Bulk.

abc: 6.1979 6.1979 4.3395
angles: 90.00 90.00 90.00
Last column: magnetic moment on the atom in μB.
Fractional positions:
Mn  0.1506  0.3494  0.0000  2.23
Mn  0.3494  0.8494  0.0000  2.24
Mn  0.6506  0.1506  0.0000  2.24
Mn  0.8494  0.6506  0.0000  2.23
Si  0.5000  0.5000  0.0000  -0.13
Si  0.0000  0.0000  0.0000  -0.13
In  0.8356  0.3356  0.5000  -0.09
In  0.3356  0.1644  0.5000  -0.09
In  0.6644  0.8356  0.5000  -0.09
In  0.1644  0.6644  0.5000  -0.09

Symmetry   P4/mbm, No. 127
Formation energy (no corrections)   109 meV per atom
ΔE to the lowest computed polymorph   0 meV per atom

---

(8)
The following is a GGA-PBE calculation of crystalline Mn2InSi at its relaxed geometry, from Alexandria via LeMat-Bulk.

abc: 5.0129 5.0129 5.0129
angles: 136.59 135.15 64.19
Last column: magnetic moment on the atom in μB.
Fractional positions:
Mn  0.7408  0.2408  0.5000  2.84
Mn  0.9983  0.9983  0.0000  2.94
Si  0.5069  0.5069  0.0000  -0.10
In  0.2540  0.7540  0.5000  -0.11

Symmetry   Imm2, No. 44
Formation energy (no corrections)   157 meV per atom

---

(9)
The following is a GGA-PBE calculation of crystalline Mn2InSi at its relaxed geometry, from Alexandria via LeMat-Bulk.

abc: 3.7795 2.8420 6.0497
angles: 90.00 90.00 90.00
Last column: magnetic moment on the atom in μB.
Fractional positions:
Si  0.0000  0.6249  0.3637  -0.08
Mn  0.0000  0.1251  0.0320  2.98
Mn  0.5000  0.1249  0.3409  2.01
In  0.5000  0.6250  0.7633  -0.06

Symmetry   Pmm2, No. 25
Formation energy (no corrections)   168 meV per atom

---

(10)
The following is a GGA-PBE calculation of crystalline Mn2InSi at its relaxed geometry, from Alexandria via LeMat-Bulk.

abc: 2.9083 5.0504 5.3831
angles: 51.87 90.00 90.00
Last column: magnetic moment on the atom in μB.
Fractional positions:
Mn  0.0000  0.0000  0.0000  2.98
Mn  0.5000  0.5000  0.0000  2.85
Si  0.5000  0.5000  0.5000  -0.08
In  0.0000  0.0000  0.5000  -0.09

Symmetry   P2/m, No. 10
Formation energy (no corrections)   285 meV per atom

---

(11)
The following is a GGA-PBE calculation of crystalline Mn2InSi at its relaxed geometry, from Alexandria via LeMat-Bulk.

abc: 8.4844 8.4844 8.4844
angles: 19.68 19.68 19.68
Last column: magnetic moment on the atom in μB.
Fractional positions:
Mn  0.5087  0.5087  0.5087  2.65
Mn  0.9913  0.9913  0.9913  2.65
Si  0.2500  0.2500  0.2500  -0.09
In  0.7500  0.7500  0.7500  -0.10

Symmetry   R-3m, No. 166
Formation energy (no corrections)   201 meV per atom

---

(12)
The following is a GGA-PBE calculation of crystalline Mn2InSi at its relaxed geometry, from Alexandria via LeMat-Bulk.

abc: 4.6881 4.6881 2.7873
angles: 89.96 89.96 107.12
Last column: magnetic moment on the atom in μB.
Fractional positions:
In  0.0000  0.5000  0.5000  -0.09
Si  0.5000  0.0000  0.5000  -0.08
Mn  0.5000  0.5000  0.0000  2.56
Mn  0.0000  0.0000  0.0000  2.56

Symmetry   Cmmm, No. 65
Formation energy (no corrections)   196 meV per atom

---

(13)
The following is a GGA-PBE calculation of crystalline Mn2InSi at its relaxed geometry, from Alexandria via LeMat-Bulk.

abc: 4.3293 4.3293 4.3293
angles: 60.00 60.00 60.00
Last column: magnetic moment on the atom in μB.
Fractional positions:
Mn  0.2500  0.2500  0.2500  2.91
Mn  0.0000  0.0000  0.0000  -0.15
Si  0.7500  0.7500  0.7500  0.03
In  0.5000  0.5000  0.5000  0.00

Symmetry   F-43m, No. 216
Formation energy (no corrections)   454 meV per atom

---

(14)
The following is a GGA-PBE calculation of crystalline MnIn4Si at its relaxed geometry, from Alexandria via LeMat-Bulk.

abc: 5.9587 5.9587 5.9587
angles: 60.00 60.00 60.00
Last column: magnetic moment on the atom in μB.
Fractional positions:
In  0.8756  0.3748  0.3748  -0.02
In  0.3748  0.8756  0.3748  -0.02
In  0.3748  0.3748  0.8756  -0.02
In  0.3748  0.3748  0.3748  -0.02
Si  0.0000  0.0000  0.0000  0.01
Mn  0.7500  0.7500  0.7500  4.20

Symmetry   F-43m, No. 216
Formation energy (no corrections)   642 meV per atom

---

(15)
The following is a GGA-PBE calculation of crystalline Mn2InSi at its relaxed geometry, from Alexandria via LeMat-Bulk.

abc: 4.4726 4.4726 5.1920
angles: 77.58 77.58 37.50
Last column: magnetic moment on the atom in μB.
Fractional positions:
Si  0.7500  0.7500  0.7500  -0.09
In  0.2500  0.2500  0.2500  -0.09
Mn  0.0127  0.0127  0.9615  2.74
Mn  0.4873  0.4873  0.5385  2.74

Symmetry   C2/m, No. 12
Formation energy (no corrections)   212 meV per atom

---

(16)
The following is a GGA-PBE calculation of crystalline Mn2InSi at its relaxed geometry, from Alexandria via LeMat-Bulk.

abc: 3.8957 3.8957 8.9353
angles: 77.41 77.41 90.00
Fractional positions:
Mn  0.3750  0.4945  0.7500
Mn  0.2445  0.6250  0.2500
Mn  0.5055  0.1250  0.2500
Mn  0.8750  0.7555  0.7500
Si  0.5000  0.5000  0.0000
Si  0.2500  0.7500  0.5000
In  0.0000  0.0000  0.0000
In  0.7500  0.2500  0.5000

Symmetry   I-42d, No. 122
Formation energy (no corrections)   517 meV per atom

---

(17)
The following is a GGA-PBE calculation of crystalline Mn2InSi at its relaxed geometry, from Alexandria via LeMat-Bulk.

abc: 4.6765 4.6765 4.6765
angles: 135.21 122.29 75.88
Last column: magnetic moment on the atom in μB.
Fractional positions:
Mn  0.9657  0.9657  0.0000  2.40
Mn  0.5343  0.5343  0.0000  2.40
Si  0.7500  0.2500  0.5000  -0.11
In  0.2500  0.7500  0.5000  -0.10

Symmetry   Immm, No. 71
Formation energy (no corrections)   132 meV per atom

---

(18)
The following is a GGA-PBE calculation of crystalline Mn2InSi at its relaxed geometry, from Alexandria via LeMat-Bulk.

abc: 3.0637 3.0637 6.3960
angles: 90.00 90.00 90.00
Last column: magnetic moment on the atom in μB.
Fractional positions:
Mn  0.0000  0.0000  0.0338  3.23
Mn  0.5000  0.5000  0.2840  -0.32
Si  0.0000  0.0000  0.4302  0.04
In  0.5000  0.5000  0.7520  -0.08

Symmetry   P4mm, No. 99
Formation energy (no corrections)   158 meV per atom

---

(19)
The following is a GGA-PBE calculation of crystalline MnInSi4 at its relaxed geometry, from Alexandria via LeMat-Bulk.

abc: 5.1915 5.1915 5.1915
angles: 60.00 60.00 60.00
Last column: magnetic moment on the atom in μB.
Fractional positions:
In  0.7500  0.7500  0.7500  -0.01
Si  0.3745  0.3745  0.8766  0.01
Si  0.3745  0.3745  0.3745  0.01
Si  0.8766  0.3745  0.3745  0.01
Si  0.3745  0.8766  0.3745  0.01
Mn  0.0000  0.0000  0.0000  3.80

Symmetry   F-43m, No. 216
Formation energy (no corrections)   489 meV per atom

---

(20)
The following is a GGA-PBE calculation of crystalline Mn2InSi at its relaxed geometry, from Alexandria via LeMat-Bulk.

abc: 8.6285 8.6285 8.6285
angles: 19.51 19.51 19.51
Last column: magnetic moment on the atom in μB.
Fractional positions:
Mn  0.9894  0.9894  0.9894  2.85
Mn  0.2504  0.2504  0.2504  -2.35
Si  0.5132  0.5132  0.5132  0.04
In  0.7469  0.7469  0.7469  -0.05

Symmetry   R3m, No. 160
Formation energy (no corrections)   290 meV per atom